First-principles (PBE) data for crystalline BeIn2GeBi at its relaxed geometry, as listed in the Alexandria database.

a = 5.6149 Å, b = 5.6149 Å, c = 4.1340 Å
α = 90.00°, β = 90.00°, γ = 90.00°
Last column: nearest neighbours and their distance in Å.
Space group P4/mmm (No. 123)
Inequivalent atoms, fractional coordinates:
Be: 0.0000 0.0000 0.0000  2 Ge 2.07
In: 0.0000 0.5000 0.5000  2 Ge 2.81
Ge: 0.0000 0.0000 0.5000  2 Be 2.07
Bi: 0.5000 0.5000 0.0000  8 In 3.49

Values from the calculation:
For the formation energy, the calculation gives 364 meV/atom.

***

First-principles (PBE) data for crystalline BeW2Se at its relaxed geometry, as listed in the Alexandria database.

a = 8.6342 Å, b = 3.1025 Å, c = 4.5204 Å
α = 90.00°, β = 95.85°, γ = 90.00°
Last column: nearest neighbours and their distance in Å.
Space group C2/m (No. 12)
Inequivalent atoms, fractional coordinates:
Be: 0.0000 0.0000 0.0000  6 W 2.51-2.78, 4 Se 2.74
W: 0.2494 0.5000 0.2348  3 Be 2.51-2.78, 1 Se 2.57, 2 W 2.63
Se: 0.0000 0.5000 0.5000  6 W 2.57-2.83, 4 Be 2.74

Values from the calculation:
As for the uncorrected formation energy: 0.466 eV per atom. The value obtained for the energy above the most stable polymorph in this dataset is 0.277 eV/atom.

***

First-principles (PBE) data for crystalline TmHfCdHg at its relaxed geometry, as listed in the Alexandria database.

a = 7.1640 Å, b = 7.1640 Å, c = 7.1640 Å
α = 90.00°, β = 90.00°, γ = 90.00°
Last column: nearest neighbours and their distance in Å.
Space group F-43m (No. 216)
Inequivalent atoms, fractional coordinates:
Tm: 0.0000 0.0000 0.0000  4 Cd 3.10, 4 Hg 3.10
Hf: 0.0000 0.0000 0.5000  4 Hg 3.10, 4 Cd 3.10
Cd: 0.2500 0.2500 0.7500  4 Hf 3.10, 4 Tm 3.10
Hg: 0.2500 0.2500 0.2500  4 Hf 3.10, 4 Tm 3.10

Values from the calculation:
For the formation energy, the calculation gives -110 meV/atom.

***

First-principles (PBE) data for crystalline LiSm2Th at its relaxed geometry, as listed in the Alexandria database.

a = 3.5747 Å, b = 3.5747 Å, c = 33.9794 Å
α = 90.00°, β = 90.00°, γ = 120.00°
Last column: nearest neighbours and their distance in Å.
Space group R3m (No. 160, hexagonal axes)
Inequivalent atoms, fractional coordinates:
Li: 0.0000 0.0000 0.0000  6 Sm 3.50-3.51, 6 Li 3.57
Sm: 0.0000 0.0000 0.2501  3 Li 3.50, 3 Th 3.50, 6 Sm 3.57
Sm: 0.0000 0.0000 0.4170  3 Th 3.50, 3 Li 3.51, 6 Sm 3.57
Th: 0.0000 0.0000 0.8334  6 Sm 3.50, 6 Th 3.57

Values from the calculation:
For the formation energy, the calculation gives 82 meV/atom. The value obtained for the energy above the most stable polymorph in this dataset is 0.035 eV/atom.

***

First-principles (PBE) data for crystalline RbHf2Br9 at its relaxed geometry, as listed in the Alexandria database.

a = 10.5885 Å, b = 7.4234 Å, c = 13.1999 Å
α = 90.00°, β = 115.32°, γ = 90.00°
Last column: nearest neighbours and their distance in Å.
Space group P2/c (No. 13)
Inequivalent atoms, fractional coordinates:
Rb: 0.0000 0.0548 0.2500  8 Br 3.70-3.90
Hf: 0.3202 0.2186 0.6355  6 Br 2.52-2.76
Br: 0.1233 0.3608 0.6662  1 Hf 2.52
Br: 0.2029 0.0825 0.0638  1 Hf 2.54
Br: 0.2706 0.3584 0.4485  1 Hf 2.52
Br: 0.4307 0.0807 0.8499  2 Hf 2.76
Br: 0.5000 0.4907 0.7500  2 Hf 2.74

Values from the calculation:
As for the uncorrected formation energy: -1.487 eV per atom.

***

First-principles (PBE) data for crystalline GaSnH at its relaxed geometry, as listed in the Alexandria database.

a = 4.0819 Å, b = 4.0819 Å, c = 7.4784 Å
α = 90.00°, β = 90.00°, γ = 90.00°
Last column: nearest neighbours and their distance in Å.
Space group I4mm (No. 107)
Inequivalent atoms, fractional coordinates:
Ga: 0.0000 0.0000 0.0000  1 H 1.78
Sn: 0.0000 0.0000 0.4885  1 H 1.87
H: 0.0000 0.0000 0.2378  1 Ga 1.78, 1 Sn 1.87

Values from the calculation:
The value obtained for the energy above the most stable polymorph in this dataset is 0.003 eV/atom.

***

First-principles (PBE) data for crystalline NbTeO3 at its relaxed geometry, as listed in the Alexandria database.

a = 4.1653 Å, b = 4.1653 Å, c = 4.1653 Å
α = 90.00°, β = 90.00°, γ = 90.00°
Last column: nearest neighbours and their distance in Å.
Space group Pm-3m (No. 221)
Inequivalent atoms, fractional coordinates:
Nb: 0.0000 0.0000 0.0000  12 O 2.95
Te: 0.5000 0.5000 0.5000  6 O 2.08
O: 0.0000 0.5000 0.5000  2 Te 2.08

Values from the calculation:
As for the uncorrected formation energy: -0.134 eV per atom.

***

First-principles (PBE) data for crystalline ReAs at its relaxed geometry, as listed in the Alexandria database.

a = 6.8262 Å, b = 6.8262 Å, c = 6.8262 Å
α = 90.00°, β = 90.00°, γ = 90.00°
Last column: nearest neighbours and their distance in Å.
Space group Pm-3n (No. 223)
Inequivalent atoms, fractional coordinates:
Re: 0.0000 0.2500 0.5000  4 As 2.41
As: 0.0000 0.5000 0.2500  4 Re 2.41

Values from the calculation:
For the formation energy, the calculation gives 1013 meV/atom. The value obtained for the energy above the most stable polymorph in this dataset is 0.937 eV/atom.

***

| no. | density (g/cm³) | density of states at the Fermi level (states/eV per cell) |
| --- | --- | --- |
| 1 | 6.629 | 2.09 |
| 2 | 12.562 | 3.82 |
| 3 | 11.931 | 12.44 |
| 4 | 7.150 | 14.03 |
| 5 | 4.113 | 0.00 |
| 6 | 5.049 | 1.14 |
| 7 | 6.170 | 2.68 |
| 8 | 8.179 | 11.18 |